{"formula": "VAg2F6", "functional": "GGA+U", "state": "relaxed", "space_group": "P2_1/c, No. 14", "relative_energy_mev_per_atom": 20, "magmom_total_mub_per_cell": 1.86, "cell": [[-5.7029, 2.9389, 1.3009], [1.1861, -3.8871, 4.5938], [3.5485, 5.3045, 3.5722]], "species": ["V", "V", "Ag", "Ag", "Ag", "Ag", "F", "F", "F", "F", "F", "F", "F", "F", "F", "F", "F", "F"], "fractional_positions": [[0.5000, 0.0000, 0.5000], [0.0000, 0.5000, 0.0000], [0.8801, 0.6811, 0.4278], [0.1199, 0.3189, 0.5722], [0.6199, 0.8189, 0.9278], [0.3801, 0.1811, 0.0722], [0.8953, 0.1903, 0.9606], [0.5580, 0.9487, 0.2510], [0.0580, 0.4487, 0.2490], [0.7801, 0.9881, 0.5701], [0.3953, 0.6903, 0.5394], [0.7199, 0.5119, 0.0701], [0.1047, 0.8097, 0.0394], [0.6047, 0.3097, 0.4606], [0.2199, 0.0119, 0.4299], [0.9420, 0.5513, 0.7510], [0.4420, 0.0513, 0.7490], [0.2801, 0.4881, 0.9299]]}